# Zr4SbAuN2

An optimized crystal structure of Zr4SbAuN2 (PBE, the Open Quantum Materials Database).

POSCAR file:
```
Zr4SbAuN2
1.0
3.372 0.000 0.000
-1.686 2.920 0.000
0.000 0.000 13.880
Au N Sb Zr
1 2 1 4
Cartesian
0.000 0.000 0.000
0.000 1.947 3.427
0.000 1.947 10.453
1.686 0.973 6.940
1.686 0.973 2.236
0.000 0.000 4.685
0.000 0.000 9.195
1.686 0.973 11.644
```

Results
V (Å³/f.u.): 136.7
Size of the total moment (μB per cell): 0.002
Total energy (Ry per atom): -0.61376